# PBE PaTlZnO4, relaxed
# - calculated volume (Å³/cell) = 481.0
# - crystal system = orthorhombic
# - formation energy without anion corrections (meV/atom) = -2178.7
# - magnetization (μB/f.u.) = 0.00
data_PaTlZnO4
_symmetry_space_group_name_H-M 'I m m a'
_symmetry_Int_Tables_number 74
_symmetry_space_group_name_Hall '-I 2b 2'
_cell_length_a 6.177
_cell_length_b 7.153
_cell_length_c 10.888
_cell_angle_alpha 90.00
_cell_angle_beta 90.00
_cell_angle_gamma 90.00
loop_
_atom_site_label
_atom_site_type_symbol
_atom_site_fract_x
_atom_site_fract_y
_atom_site_fract_z
Pa1 Pa 0.000 0.000 0.000
Tl1 Tl 0.000 0.250 0.322
Zn1 Zn 0.250 0.250 0.750
O1 O 0.000 0.066 0.802
O2 O 0.210 0.250 0.010


# PBE Cs3CuAg2Cl9, relaxed
# - calculated volume (Å³/cell) = 406.1
# - crystal system = trigonal
# - formation energy without anion corrections (meV/atom) = -1083.2
# - magnetization (μB/f.u.) = 0.00
data_Cs3CuAg2Cl9
_symmetry_space_group_name_H-M 'P -3 m 1'
_symmetry_Int_Tables_number 164
_symmetry_space_group_name_Hall '-P 3 2"'
_cell_length_a 7.2572
_cell_length_b 7.2572
_cell_length_c 8.9041
_cell_angle_alpha 90.00
_cell_angle_beta 90.00
_cell_angle_gamma 120.00
loop_
_atom_site_label
_atom_site_type_symbol
_atom_site_fract_x
_atom_site_fract_y
_atom_site_fract_z
Cs1 Cs 0.0000 0.0000 0.0000
Cs2 Cs 0.3333 0.6667 0.6675
Cu1 Cu 0.0000 0.0000 0.5000
Ag1 Ag 0.3333 0.6667 0.1739
Cl1 Cl 0.0000 0.5000 0.0000
Cl2 Cl 0.1596 0.3192 0.3422


# PBE Sc2CdMo2, relaxed
# - calculated volume (Å³/cell) = 215.4
# - crystal system = tetragonal
# - energy above the lowest structure with this stoichiometry (meV/atom) = 118.6
# - ΔH_f (0 K) (meV per atom) = 273
# - magnetization (μB/f.u.) = 0.00
data_Sc2CdMo2
_symmetry_space_group_name_H-M 'I 4/m m m'
_symmetry_Int_Tables_number 139
_symmetry_space_group_name_Hall '-I 4 2'
_cell_length_a 3.651
_cell_length_b 3.651
_cell_length_c 16.159
_cell_angle_alpha 90.00
_cell_angle_beta 90.00
_cell_angle_gamma 90.00
loop_
_atom_site_label
_atom_site_type_symbol
_atom_site_fract_x
_atom_site_fract_y
_atom_site_fract_z
Sc1 Sc 0.000 0.000 0.108
Cd1 Cd 0.000 0.000 0.500
Mo1 Mo 0.000 0.500 0.250


# PBE CsAl2Ga2, relaxed
# - calculated volume (Å³/cell) = 139.7
# - crystal system = tetragonal
# - energy above the lowest structure with this stoichiometry (meV/atom) = 0.0
# - ΔH_f (0 K) (meV per atom) = -1
# - magnetization (μB/f.u.) = 0.00
data_CsAl2Ga2
_symmetry_space_group_name_H-M 'P 4/m m m'
_symmetry_Int_Tables_number 123
_symmetry_space_group_name_Hall '-P 4 2'
_cell_length_a 4.171
_cell_length_b 4.171
_cell_length_c 8.027
_cell_angle_alpha 90.00
_cell_angle_beta 90.00
_cell_angle_gamma 90.00
loop_
_atom_site_label
_atom_site_type_symbol
_atom_site_fract_x
_atom_site_fract_y
_atom_site_fract_z
Cs1 Cs 0.000 0.000 0.000
Al1 Al 0.000 0.500 0.500
Ga1 Ga 0.500 0.500 0.291


# PBE V3OsPt, relaxed
# - calculated volume (Å³/cell) = 92.6
# - crystal system = cubic
# - ΔH_f (0 K) (meV per atom) = 1010
# - magnetization (μB/f.u.) = 1.16
data_V3OsPt
_symmetry_space_group_name_H-M 'P m -3 m'
_symmetry_Int_Tables_number 221
_symmetry_space_group_name_Hall '-P 4 2 3'
_cell_length_a 4.524
_cell_length_b 4.524
_cell_length_c 4.524
_cell_angle_alpha 90.00
_cell_angle_beta 90.00
_cell_angle_gamma 90.00
loop_
_atom_site_label
_atom_site_type_symbol
_atom_site_fract_x
_atom_site_fract_y
_atom_site_fract_z
V1 V 0.000 0.000 0.500
Os1 Os 0.000 0.000 0.000
Pt1 Pt 0.500 0.500 0.500


# PBE ScCoSi2, relaxed
# - calculated volume (Å³/cell) = 55.4
# - crystal system = tetragonal
# - formation energy without anion corrections (meV/atom) = -409.3
# - magnetization (μB/f.u.) = 0.00
data_ScCoSi2
_symmetry_space_group_name_H-M 'P 4/m m m'
_symmetry_Int_Tables_number 123
_symmetry_space_group_name_Hall '-P 4 2'
_cell_length_a 3.799
_cell_length_b 3.799
_cell_length_c 3.841
_cell_angle_alpha 90.00
_cell_angle_beta 90.00
_cell_angle_gamma 90.00
loop_
_atom_site_label
_atom_site_type_symbol
_atom_site_fract_x
_atom_site_fract_y
_atom_site_fract_z
Sc1 Sc 0.000 0.000 0.000
Co1 Co 0.500 0.500 0.000
Si1 Si 0.000 0.500 0.500


What is the formula in the fourth record? CsAl2Ga2